Dy2AlBiO6 after structural relaxation. Source: Alexandria, functional PBE.

Structure (CIF):
```
data_Dy2AlBiO6
_chemical_formula_sum 'Dy2 Al1 Bi1 O6'
_cell_length_a 5.316
_cell_length_b 5.278
_cell_length_c 5.278
_cell_angle_alpha 90.00
_cell_angle_beta 90.00
_cell_angle_gamma 90.00
_space_group_name_H-M_alt 'P 1'
_space_group_IT_number 1
_space_group_name_Hall 'P 1'
loop_
_atom_site_label
_atom_site_fract_x
_atom_site_fract_y
_atom_site_fract_z
Dy1 0.979 0.500 0.000
Dy2 0.979 0.000 0.500
Al1 0.602 0.000 0.000
Bi1 0.543 0.500 0.500
O1 0.742 0.232 0.232
O2 0.742 0.232 0.768
O3 0.113 0.500 0.500
O4 0.263 0.000 0.000
O5 0.742 0.768 0.768
O6 0.742 0.768 0.232
```

Computed properties:
* density of states at the Fermi level: 0.000 states/eV/atom
* E: -7.222 eV per atom
* uncorrected formation energy: -25.646 eV per formula unit
* theoretical density: 7.4 Mg/m³
* spin magnetization: 0.0 μB/f.u.

---

Nd2ZnAs3Ir4 after structural relaxation. Source: Alexandria, functional PBE.

Structure (CIF):
```
data_Nd2ZnAs3Ir4
_chemical_formula_sum 'Nd2 Zn1 As3 Ir4'
_cell_length_a 4.215
_cell_length_b 4.215
_cell_length_c 10.406
_cell_angle_alpha 90.00
_cell_angle_beta 90.00
_cell_angle_gamma 90.00
_space_group_name_H-M_alt 'P 1'
_space_group_IT_number 1
_space_group_name_Hall 'P 1'
loop_
_atom_site_label
_atom_site_fract_x
_atom_site_fract_y
_atom_site_fract_z
Nd1 0.500 0.000 0.253
Nd2 0.000 0.500 0.747
Zn1 0.500 0.500 0.500
As1 0.000 0.000 0.500
As2 0.500 0.000 0.863
As3 0.000 0.500 0.137
Ir1 0.500 0.500 0.000
Ir2 0.000 0.000 0.000
Ir3 0.500 0.000 0.632
Ir4 0.000 0.500 0.368
```

Computed properties:
* formation energy: -7.0 eV per formula unit
* density of states at the Fermi level: 0.424 states/eV/atom
* E: -6.724 eV per atom
* theoretical density: 12.1 Mg/m³
* spin magnetization: 0.0 μB/f.u.

---

MnWCl after structural relaxation. Source: Alexandria, functional PBE.

Structure (CIF):
```
data_MnWCl
_chemical_formula_sum 'Mn1 W1 Cl1'
_cell_length_a 4.196
_cell_length_b 4.196
_cell_length_c 4.196
_cell_angle_alpha 60.00
_cell_angle_beta 60.00
_cell_angle_gamma 60.00
_space_group_name_H-M_alt 'P 1'
_space_group_IT_number 1
_space_group_name_Hall 'P 1'
loop_
_atom_site_label
_atom_site_fract_x
_atom_site_fract_y
_atom_site_fract_z
Cl1 0.000 0.000 0.000
Mn1 0.500 0.500 0.500
W1 0.750 0.750 0.750
```

Computed properties:
* density of states at the Fermi level: 0.784 states/eV/atom
* distance to the lowest polymorph of the same formula: 77.9 kJ/mol of atoms
* E: -6.835 eV per atom
* uncorrected formation energy: 3.464 eV per formula unit
* theoretical density: 8.7 Mg/m³
* spin magnetization: 1.2 μB/f.u.

---

Nd4Te3Pt after structural relaxation. Source: Alexandria, functional PBE.

Structure (CIF):
```
data_Nd4Te3Pt
_chemical_formula_sum 'Nd8 Te6 Pt2'
_cell_length_a 6.284
_cell_length_b 9.389
_cell_length_c 10.321
_cell_angle_alpha 90.00
_cell_angle_beta 90.00
_cell_angle_gamma 90.00
_space_group_name_H-M_alt 'P 1'
_space_group_IT_number 1
_space_group_name_Hall 'P 1'
loop_
_atom_site_label
_atom_site_fract_x
_atom_site_fract_y
_atom_site_fract_z
Nd1 0.064 0.850 0.000
Nd2 0.564 0.150 0.000
Nd3 0.064 0.312 0.223
Nd4 0.564 0.688 0.277
Nd5 0.064 0.850 0.500
Nd6 0.564 0.150 0.500
Nd7 0.564 0.688 0.723
Nd8 0.064 0.312 0.777
Te1 0.564 0.817 0.000
Te2 0.064 0.652 0.250
Te3 0.564 0.348 0.250
Te4 0.064 0.183 0.500
Te5 0.564 0.348 0.750
Te6 0.064 0.652 0.750
Pt1 0.064 0.147 0.000
Pt2 0.564 0.853 0.500
```

Computed properties:
* density of states at the Fermi level: 1.460 states/eV/atom
* distance to the lowest polymorph of the same formula: 24.9 kJ/mol of atoms
* E: -5.405 eV per atom
* uncorrected formation energy: -8.704 eV per formula unit
* theoretical density: 6.3 Mg/m³
* spin magnetization: 0.1 μB/f.u.